# 1
The following is a DFT calculation (PBE) of Pm2PrTl3S6 after structural relaxation.

Properties
ΔE_f (raw) = -1458 meV per atom
spin magnetization = 0.00 μB/cell

Geometry as POSCAR:
```
Pm2PrTl3S6
1.0
3.613 -6.258 0.000
3.613 6.258 0.000
-2.409 0.000 7.498
Pm Pr Tl S
2 1 3 6
direct
0.167 0.833 0.000
0.833 0.167 0.000
0.500 0.500 0.000
0.000 0.000 0.500
0.333 0.667 0.500
0.667 0.333 0.500
0.095 0.432 0.796
0.231 0.231 0.203
0.432 0.095 0.796
0.568 0.905 0.204
0.769 0.769 0.797
0.905 0.568 0.204
```

---

# 2
The following is a DFT calculation (PBE) of PmPrTm4S8 after structural relaxation.

Properties
ΔE_f (raw) = -1910 meV per atom
spin magnetization = 0.00 μB/cell

Geometry as POSCAR:
```
PmPrTm4S8
1.0
4.013 2.317 6.656
-4.013 2.317 6.656
0.000 -4.633 6.656
Pm Pr Tm S
1 1 4 8
direct
0.000 0.000 0.000
0.626 0.626 0.626
0.000 0.000 0.497
0.000 0.497 0.000
0.373 0.373 0.373
0.497 0.000 0.000
0.215 0.754 0.754
0.241 0.241 0.241
0.250 0.250 0.766
0.250 0.766 0.250
0.754 0.215 0.754
0.754 0.754 0.215
0.763 0.763 0.763
0.766 0.250 0.250
```

---

# 3
The following is a DFT calculation (PBE) of Pm3PrTm2S6 after structural relaxation.

Properties
ΔE_f (raw) = -1998 meV per atom
spin magnetization = 0.00 μB/cell

Geometry as POSCAR:
```
Pm3PrTm2S6
1.0
3.440 -5.975 0.000
3.440 5.975 0.000
-2.300 0.000 6.525
Pm Pr Tm S
3 1 2 6
direct
0.000 0.000 0.000
0.340 0.660 0.000
0.660 0.340 0.000
0.500 0.500 0.500
0.166 0.834 0.500
0.834 0.166 0.500
0.071 0.420 0.259
0.231 0.231 0.736
0.420 0.071 0.259
0.580 0.929 0.741
0.769 0.769 0.264
0.929 0.580 0.741
```

---

# 4
The following is a DFT calculation (PBE) of PmPr2TmS6 after structural relaxation.

Properties
ΔE_f (raw) = -2020 meV per atom
spin magnetization = 0.00 μB/cell

Geometry as POSCAR:
```
PmPr2TmS6
1.0
3.561 2.056 6.238
-3.561 2.056 6.238
0.000 -4.112 6.238
Pm Pr Tm S
1 2 1 6
direct
0.000 0.000 0.000
0.290 0.290 0.290
0.792 0.792 0.792
0.497 0.497 0.497
0.117 0.698 0.387
0.213 0.611 0.873
0.387 0.117 0.698
0.611 0.873 0.213
0.698 0.387 0.117
0.873 0.213 0.611
```

---

# 5
The following is a DFT calculation (PBE) of Pm4Pr3TmS8 after structural relaxation.

Properties
ΔE_f (raw) = -2005 meV per atom
spin magnetization = 0.00 μB/cell

Geometry as POSCAR:
```
Pm4Pr3TmS8
1.0
4.045 2.335 6.583
-4.045 2.335 6.583
0.000 -4.671 6.583
Pm Pr Tm S
4 3 1 8
direct
0.000 0.000 0.000
0.000 0.500 0.500
0.500 0.000 0.500
0.500 0.500 0.000
0.000 0.000 0.500
0.000 0.500 0.000
0.500 0.000 0.000
0.500 0.500 0.500
0.252 0.252 0.252
0.257 0.257 0.738
0.257 0.738 0.257
0.262 0.743 0.743
0.738 0.257 0.257
0.743 0.262 0.743
0.743 0.743 0.262
0.748 0.748 0.748
```

---

# 6
The following is a DFT calculation (PBE) of PmPr2TmS4 after structural relaxation.

Properties
ΔE_f (raw) = -2000 meV per atom
spin magnetization = 0.00 μB/cell

Geometry as POSCAR:
```
PmPr2TmS4
1.0
6.952 0.000 0.000
0.000 3.962 0.000
-2.263 0.000 6.694
Pm Pr Tm S
1 2 1 4
direct
0.000 0.000 0.000
0.000 0.500 0.500
0.500 0.000 0.500
0.500 0.500 0.000
0.254 0.500 0.237
0.266 0.000 0.770
0.734 0.000 0.230
0.746 0.500 0.763
```

---

# 7
The following is a DFT calculation (PBE) of PmPrTm2S4 after structural relaxation.

Properties
ΔE_f (raw) = -1989 meV per atom
spin magnetization = 0.00 μB/cell

Geometry as POSCAR:
```
PmPrTm2S4
1.0
6.769 0.000 0.000
0.000 3.886 0.000
-2.238 0.000 6.670
Pm Pr Tm S
1 1 2 4
direct
0.000 0.000 0.000
0.500 0.500 0.000
0.000 0.500 0.500
0.500 0.000 0.500
0.240 0.000 0.727
0.255 0.500 0.272
0.745 0.500 0.728
0.760 0.000 0.273
```

---

# 8
The following is a DFT calculation (PBE) of Pm2PrUS8 after structural relaxation.

Properties
ΔE_f (raw) = -1476 meV per atom
spin magnetization = 0.00 μB/cell

Geometry as POSCAR:
```
Pm2PrUS8
1.0
6.085 0.000 0.000
0.139 6.258 0.000
0.022 0.002 8.457
Pm Pr U S
2 1 1 8
direct
0.002 0.499 0.244
0.998 0.501 0.756
0.500 0.000 0.500
0.500 0.000 0.000
0.254 0.877 0.228
0.256 0.875 0.773
0.266 0.346 0.999
0.289 0.430 0.500
0.711 0.570 0.500
0.734 0.654 0.001
0.744 0.125 0.227
0.746 0.123 0.772
```

---

# 9
The following is a DFT calculation (PBE) of Pm2PrY3S6 after structural relaxation.

Properties
ΔE_f (raw) = -2019 meV per atom
spin magnetization = 0.00 μB/cell

Geometry as POSCAR:
```
Pm2PrY3S6
1.0
3.433 -5.966 0.000
3.433 5.966 0.000
-2.295 0.000 6.566
Pm Pr Y S
2 1 3 6
direct
0.166 0.834 0.000
0.834 0.166 0.000
0.500 0.500 0.000
0.000 0.000 0.500
0.335 0.665 0.500
0.665 0.335 0.500
0.075 0.412 0.736
0.251 0.251 0.263
0.412 0.075 0.736
0.588 0.925 0.264
0.749 0.749 0.737
0.925 0.588 0.264
```

---

# 10
The following is a DFT calculation (PBE) of Pm3Pr4YS8 after structural relaxation.

Properties
ΔE_f (raw) = -2019 meV per atom
spin magnetization = 0.00 μB/cell

Geometry as POSCAR:
```
Pm3Pr4YS8
1.0
4.047 2.337 6.659
-4.047 2.337 6.659
0.000 -4.673 6.659
Pm Pr Y S
3 4 1 8
direct
0.000 0.500 0.500
0.500 0.000 0.500
0.500 0.500 0.000
0.000 0.000 0.500
0.000 0.500 0.000
0.500 0.000 0.000
0.500 0.500 0.500
0.000 0.000 0.000
0.243 0.243 0.752
0.243 0.752 0.243
0.248 0.757 0.757
0.252 0.252 0.252
0.748 0.748 0.748
0.752 0.243 0.243
0.757 0.248 0.757
0.757 0.757 0.248
```

---

# 11
The following is a DFT calculation (PBE) of PmPr4Y3S8 after structural relaxation.

Properties
ΔE_f (raw) = -2013 meV per atom
spin magnetization = 0.00 μB/cell

Geometry as POSCAR:
```
PmPr4Y3S8
1.0
4.002 2.310 6.665
-4.002 2.310 6.665
0.000 -4.621 6.665
Pm Pr Y S
1 4 3 8
direct
0.000 0.000 0.000
0.000 0.000 0.500
0.000 0.500 0.000
0.500 0.000 0.000
0.500 0.500 0.500
0.000 0.500 0.500
0.500 0.000 0.500
0.500 0.500 0.000
0.248 0.248 0.740
0.248 0.740 0.248
0.256 0.256 0.256
0.260 0.752 0.752
0.740 0.248 0.248
0.744 0.744 0.744
0.752 0.260 0.752
0.752 0.752 0.260
```

---

# 12
The following is a DFT calculation (PBE) of Pm2PrYS6 after structural relaxation.

Properties
ΔE_f (raw) = -2026 meV per atom
spin magnetization = 0.00 μB/cell

Geometry as POSCAR:
```
Pm2PrYS6
1.0
3.558 2.054 6.274
-3.558 2.054 6.274
0.000 -4.109 6.274
Pm Pr Y S
2 1 1 6
direct
0.000 0.000 0.000
0.497 0.497 0.497
0.206 0.206 0.206
0.701 0.701 0.701
0.091 0.409 0.804
0.308 0.891 0.607
0.409 0.804 0.091
0.607 0.308 0.891
0.804 0.091 0.409
0.891 0.607 0.308
```